Entry from Alexandria via LeMat-Bulk: ErMg2Ti after structural relaxation (PBE-GGA).

Lattice parameters (Å, degrees): 4.6162 4.4930 4.4930 90.00 90.00 90.00
Site moments in Bohr magnetons follow the coordinates.
Fractional coordinates of all 4 atoms:
Mg 0.0000 0.0000 0.5000  0.00
Er 0.5000 0.0000 0.0000  0.21
Ti 0.5000 0.5000 0.5000  1.04
Mg 0.0000 0.5000 0.0000  0.00

Output
- density (kg/m³) = 4700
- E (eV/atom) = -3.756
- crystal system = tetragonal
- DOS(E_F) (states/eV/cell) = 4.80
- calculated formation energy (eV per atom) = 0.16
- space group = P4/mmm, No. 123